(A)
! TlZnSi2 PBEsol relaxed; values from VASP
! space-group type	No. 6
! spin magnetization	0.0	μB/cell
&SYSTEM
  ibrav = 0, nat = 4, ntyp = 3
/
ATOMIC_SPECIES
Si 28.09 Si.upf
Tl 204.38 Tl.upf
Zn 65.41 Zn.upf
ATOMIC_POSITIONS crystal
Si 0.0694 0.0000 0.0193
Si 0.6442 0.5000 0.1627
Tl 0.8207 0.0000 0.5181
Zn 0.4658 0.5000 0.7999
CELL_PARAMETERS angstrom
3.1425 0.0000 -0.1614
0.0000 3.3988 0.0000
-1.2689 0.0000 7.1239

---

(B)
! TlZnSi2 PBEsol relaxed; values from VASP
! space-group type	No. 122
! spin magnetization	0.0	μB/cell
&SYSTEM
  ibrav = 0, nat = 8, ntyp = 3
/
ATOMIC_SPECIES
Tl 204.38 Tl.upf
Si 28.09 Si.upf
Zn 65.41 Zn.upf
ATOMIC_POSITIONS crystal
Tl 0.2500 0.7500 0.5000
Tl 0.0000 0.0000 0.0000
Si 0.4542 0.8750 0.2500
Si 0.7958 0.3750 0.2500
Si 0.1250 0.2042 0.7500
Si 0.6250 0.5458 0.7500
Zn 0.7500 0.2500 0.5000
Zn 0.5000 0.5000 0.0000
CELL_PARAMETERS angstrom
-1.4285 -2.3047 -3.0510
3.8135 -1.0955 -0.9579
-1.8252 -5.5491 7.7765

---

How do the energies compare? Relative to the most stable structure, in eV/atom: (A) 0.000; (B) 0.095.

---

(A)
! Tl2HgSb PBEsol relaxed; values from VASP
! space-group type	No. 6
! spin magnetization	0.0	μB/cell
&SYSTEM
  ibrav = 0, nat = 4, ntyp = 3
/
ATOMIC_SPECIES
Sb 121.76 Sb.upf
Tl 204.38 Tl.upf
Hg 200.59 Hg.upf
ATOMIC_POSITIONS crystal
Sb 0.3980 0.5000 0.7477
Tl 0.0341 0.0000 0.9848
Tl 0.7282 0.5000 0.2776
Hg 0.3397 0.0000 0.4899
CELL_PARAMETERS angstrom
-2.0939 -0.7749 2.3743
-0.5725 -4.6091 -2.0092
5.6425 -1.9742 2.9211

---

(B)
! Tl2HgSb PBEsol relaxed; values from VASP
! space-group type	No. 44
! spin magnetization	0.0	μB/cell
&SYSTEM
  ibrav = 0, nat = 4, ntyp = 3
/
ATOMIC_SPECIES
Sb 121.76 Sb.upf
Tl 204.38 Tl.upf
Hg 200.59 Hg.upf
ATOMIC_POSITIONS crystal
Sb 0.2365 0.7365 0.4730
Tl 0.9905 0.9905 0.9809
Tl 0.7648 0.2648 0.5295
Hg 0.5083 0.5083 0.0165
CELL_PARAMETERS angstrom
-2.1624 2.1418 1.7986
-0.4211 -3.7871 4.0033
5.6558 3.0633 -0.3223

---

How do the energies compare? Relative to the most stable structure, in eV/atom: (A) 0.000; (B) 0.022.

---

(A)
! SbAsBr2 PBEsol relaxed; values from VASP
! space-group type	No. 123
! spin magnetization	0.0	μB/cell
&SYSTEM
  ibrav = 0, nat = 4, ntyp = 3
/
ATOMIC_SPECIES
Sb 121.76 Sb.upf
As 74.92 As.upf
Br 79.90 Br.upf
ATOMIC_POSITIONS crystal
Sb 0.5000 0.5000 0.0000
As 0.5000 0.5000 0.5000
Br 0.0000 0.0000 0.7085
Br 0.0000 0.0000 0.2915
CELL_PARAMETERS angstrom
-1.6346 0.8968 2.6666
-1.8677 -2.6523 -0.2530
5.7167 -4.5045 5.0193

---

(B)
! SbAsBr2 PBEsol relaxed; values from VASP
! space-group type	No. 166
! spin magnetization	0.0	μB/cell
&SYSTEM
  ibrav = 0, nat = 4, ntyp = 3
/
ATOMIC_SPECIES
Sb 121.76 Sb.upf
As 74.92 As.upf
Br 79.90 Br.upf
ATOMIC_POSITIONS crystal
Sb 0.0000 0.0000 0.0000
As 0.5000 0.5000 0.5000
Br 0.9073 0.9073 0.2781
Br 0.0927 0.0927 0.7219
CELL_PARAMETERS angstrom
-2.1162 -2.6145 0.3244
-0.5112 -1.3933 3.0358
-8.4698 5.0139 2.7555

---

How do the energies compare? Relative to the most stable structure, in eV/atom: (A) 0.182; (B) 0.000.